Entry 1:
TmAgSO (GGA-PBE, optimized geometry); final energy = -5.962 eV/atom; magnetization = 0.0 μB per formula unit
1.0
-3.353 3.534 4.302
4.149 -2.554 5.332
4.557 4.205 -1.532
Ag S Tm O
4 4 4 4
Direct
0.966 0.219 0.159
0.966 0.281 0.659
0.034 0.719 0.341
0.034 0.781 0.841
0.229 0.089 0.884
0.771 0.911 0.116
0.771 0.589 0.616
0.229 0.411 0.384
0.513 0.870 0.717
0.487 0.370 0.783
0.513 0.630 0.217
0.487 0.130 0.283
0.613 0.357 0.115
0.387 0.643 0.885
0.613 0.143 0.615
0.387 0.857 0.385



Entry 2:
NdGd2Cd3Ga2Cu (GGA-PBE, optimized geometry); final energy = -3.423 eV/atom; magnetization = 0.0 μB per formula unit
1.0
4.348 0.000 0.000
0.000 6.398 3.683
0.000 -6.398 3.683
Gd Ga Cd Cu Nd
2 2 3 1 1
Direct
0.000 0.001 0.591
0.000 0.591 0.001
0.500 0.332 0.670
0.500 0.670 0.332
0.500 0.998 0.243
0.500 0.758 0.758
0.500 0.243 0.998
0.000 0.996 0.996
0.000 0.411 0.411



Entry 3:
ZnHBr (GGA-PBE, optimized geometry); final energy = -2.505 eV/atom
1.0
1.930 -7.152 0.000
1.930 7.152 0.000
0.000 0.000 4.907
Zn Br H
2 2 2
Direct
0.444 0.556 0.471
0.556 0.444 0.971
0.153 0.847 0.845
0.847 0.153 0.345
0.547 0.453 0.310
0.453 0.547 0.810



Entry 4:
CsPr2CuTeS3 (GGA-PBE, optimized geometry); final energy = -5.225 eV/atom; magnetization = 0.0 μB per formula unit
1.0
2.145 -7.561 0.000
2.145 7.561 0.000
0.000 0.000 14.404
S Te Cu Pr Cs
6 2 2 4 2
Direct
0.260 0.740 0.387
0.409 0.591 0.750
0.740 0.260 0.613
0.740 0.260 0.887
0.260 0.740 0.113
0.591 0.409 0.250
0.000 0.000 0.000
0.000 0.000 0.500
0.828 0.172 0.750
0.172 0.828 0.250
0.648 0.352 0.066
0.648 0.352 0.434
0.352 0.648 0.934
0.352 0.648 0.566
0.903 0.097 0.250
0.097 0.903 0.750



Entry 5:
Tl2CuAs (GGA-PBE, optimized geometry); final energy = -2.935 eV/atom
1.0
-2.850 -4.214 0.094
-4.883 0.199 -1.416
-1.476 -2.171 -4.359
As Tl Cu
1 2 1
Direct
0.500 0.500 0.500
0.000 0.000 0.000
0.750 0.750 0.750
0.250 0.250 0.250



Entry 6:
BaAsPdAu (GGA-PBE, optimized geometry); final energy = -3.944 eV/atom
1.0
0.000 3.611 3.611
3.611 0.000 3.611
3.611 3.611 0.000
As Ba Au Pd
1 1 1 1
Direct
0.000 0.000 0.000
0.250 0.250 0.250
0.750 0.750 0.750
0.500 0.500 0.500